The following is a PBE calculation of a relaxed structure of Mg2TlSnO6, from Alexandria via LeMat-Bulk.

Properties
Magnetization (μB/f.u.): 1.1
DOS at the Fermi energy (states/eV per cell): 5.68
Volume (Å³ per atom): 12.2
Uncorrected formation energy (eV/f.u.): -16.26
Space-group type: R3 (146)

Cell lengths 5.4089, 5.4086, 5.7555 Å; angles 61.96, 61.96, 60.00 degrees
With the nearest neighbours (Å) after each atom.
Fractional coordinates of all 10 atoms:
Mg  0.5156  0.5156  0.4534  6 O 2.07-2.18
Mg  0.0218  0.0219  0.9343  6 O 2.07-2.20
Tl  0.3055  0.3055  0.0836  6 O 2.20-2.37
Sn  0.8123  0.8123  0.5631  6 O 2.07-2.16
O  0.6411  0.2160  0.2549  2 Mg 2.07-2.20, 1 Sn 2.16, 1 Tl 2.20
O  0.2161  0.8879  0.2549  2 Mg 2.07-2.20, 1 Sn 2.16, 1 Tl 2.20
O  0.8879  0.6411  0.2549  2 Mg 2.07-2.20, 1 Sn 2.16, 1 Tl 2.20
O  0.4152  0.7348  0.7387  1 Sn 2.07, 2 Mg 2.07-2.18
O  0.7348  0.1113  0.7387  1 Sn 2.07, 2 Mg 2.07-2.18
O  0.1112  0.4153  0.7387  1 Sn 2.07, 2 Mg 2.07-2.18